# 1
First-principles (PBE) data for crystalline Na2In6Ni at its relaxed geometry, as listed in Alexandria.

The calculation puts the density of states at the Fermi level at 5.88 states/eV/f.u. The energy of formation is -2 meV/atom. Its magnetization is 0.00 μB/atom. The calculation puts the polymorph energy (0 for the lowest one) at 0.64 eV per formula unit. The value obtained for the total DFT energy (no corrections) is -2.764 eV per atom.

The structure belongs to space group P-62m (No. 189); the cell edges are 8.2504, 8.2504 and 3.9730 Å and the angles 90.00°, 90.00° and 120.00°. The distinct sites, in fractional coordinates, are Na at (0.3333, 0.6667, 0.0000), In at (0.0000, 0.3433, 0.5000), In at (0.0000, 0.7645, 0.0000) and Ni at (0.0000, 0.0000, 0.5000).

---

# 2
First-principles (PBE) data for crystalline NaIn6Ni6 at its relaxed geometry, as listed in Alexandria.

The calculation puts the density of states at the Fermi level at 7.33 states/eV/f.u. The energy of formation is -144 meV/atom. Its magnetization is 0.00 μB/atom. The value obtained for the total DFT energy (no corrections) is -4.177 eV per atom.

The structure belongs to space group Immm (No. 71); the cell edges are 5.3034, 8.9396 and 9.1923 Å and the angles 90.00°, 90.00° and 90.00°. The distinct sites, in fractional coordinates, are Na at (0.0000, 0.0000, 0.0000), In at (0.0000, 0.0000, 0.3360), In at (0.0000, 0.3145, 0.0000), In at (0.0000, 0.5000, 0.3296), Ni at (0.0000, 0.2540, 0.5000) and Ni at (0.2500, 0.2500, 0.2500).